A plane-wave DFT calculation with GGA+U was carried out for crystalline KRbV2O6 at its relaxed geometry.

Calculated values
E_tot = -66.6 eV/f.u.
ρ = 2.819 g cm⁻³
Crystal system = monoclinic
N(E_F) = 0.00 states/eV per cell

Unit cell a=5.721 b=8.177 c=8.177 alpha=93.40 beta=86.00 gamma=86.00
Element x y z (fractional)
Rb 0.750 0.107 0.893
O 0.055 0.299 0.363
O 0.945 0.701 0.637
O 0.689 0.167 0.559
O 0.213 0.963 0.757
V 0.730 0.632 0.791
O 0.787 0.037 0.243
O 0.555 0.363 0.299
O 0.189 0.559 0.167
K 0.250 0.310 0.690
O 0.445 0.637 0.701
O 0.713 0.757 0.963
V 0.270 0.368 0.209
O 0.311 0.833 0.441
O 0.811 0.441 0.833
O 0.287 0.243 0.037
K 0.750 0.690 0.310
Rb 0.250 0.893 0.107
V 0.770 0.209 0.368
V 0.230 0.791 0.632